The following is a DFT calculation (meta-GGA SCAN) of a PBEsol-optimized structure of ScTl2Mo.

abc: 3.676 3.676 6.070
angles: 90.00 90.00 90.00
Sites, in units of the cell vectors:
Tl1 0.500 0.500 0.266
Tl2 0.000 0.000 0.995
Mo1 0.000 0.000 0.512
Sc1 0.500 0.500 0.726

Summary:
Space-group type   No. 99
Energy of formation   266 meV per atom
V   82.0 Å³ per cell
Magnetic moment   0.00 μB/f.u.

The following is a DFT calculation (meta-GGA SCAN) of a PBEsol-optimized structure of BiAu2.

abc: 5.611 5.611 5.611
angles: 60.00 60.00 60.00
Sites, in units of the cell vectors:
Bi1 0.250 0.250 0.250
Bi2 0.000 0.000 0.000
Au1 0.625 0.125 0.625
Au2 0.125 0.625 0.625
Au3 0.625 0.625 0.125
Au4 0.625 0.625 0.625

Summary:
Space-group type   No. 227
Energy of formation   13 meV per atom
V   124.9 Å³ per cell
Magnetic moment   0.00 μB/f.u.

The following is a DFT calculation (meta-GGA SCAN) of a PBEsol-optimized structure of BSbSe2.

abc: 4.958 4.958 6.457
angles: 67.42 67.42 60.00
Sites, in units of the cell vectors:
Sb1 0.500 0.500 0.500
B1 0.000 0.000 0.000
Se1 0.105 0.105 0.685
Se2 0.895 0.895 0.315

Summary:
Space-group type   No. 166
V   123.2 Å³ per cell
Magnetic moment   0.15 μB/f.u.
Uncorrected formation energy   12.73 kcal/mol of atoms

Among the records above, which one has the lowest V? ScTl2Mo